DFT (PBE-GGA) results for a geometry-optimized Ce3Pm2N4 structure.

Cell: 6.2659 6.2659 8.8930 Å, 118.68 118.68 33.11°
Closest atoms and distances in Å follow each position.
Atoms (fractional coordinates):
Ce: 0.0000 0.0000 0.0000  6 N 2.54-2.55
Ce: 0.2057 0.2057 0.8091  5 N 2.40-2.55
Ce: 0.7943 0.7943 0.1909  5 N 2.40-2.55
Pm: 0.3935 0.3935 0.6115  4 N 2.47-2.59
Pm: 0.6065 0.6065 0.3885  4 N 2.47-2.59
N: 0.2022 0.2022 0.2974  3 Pm 2.47-2.58, 3 Ce 2.52-2.54
N: 0.3951 0.3951 0.0920  5 Ce 2.40-2.55, 1 Pm 2.59
N: 0.6049 0.6049 0.9080  5 Ce 2.40-2.55, 1 Pm 2.59
N: 0.7978 0.7978 0.7026  3 Pm 2.47-2.58, 3 Ce 2.52-2.54

Calculated values
The crystal system is monoclinic. Its space group is C2/m, No. 12. The value obtained for the final energy is -0.29469 Ha/atom. The calculated volume comes out at 165.1 Å³ per cell.

=====

DFT (PBE-GGA) results for a geometry-optimized Ce3PmN structure.

Cell: 4.9561 4.9561 4.9561 Å, 90.00 90.00 90.00°
Closest atoms and distances in Å follow each position.
Atoms (fractional coordinates):
Ce: 0.0000 0.0000 0.5000  2 N 2.48
Ce: 0.0000 0.5000 0.0000  2 N 2.48
Ce: 0.5000 0.0000 0.0000  2 N 2.48
Pm: 0.5000 0.5000 0.5000  12 Ce 3.50
N: 0.0000 0.0000 0.0000  6 Ce 2.48

Calculated values
The crystal system is cubic. Its space group is Pm-3m, No. 221. The value obtained for the final energy is -0.24587 Ha/atom. The calculated volume comes out at 121.7 Å³ per cell.

=====

DFT (PBE-GGA) results for a geometry-optimized Ce5Pm3N8 structure.

Cell: 7.1666 7.1666 7.1666 Å, 60.01 60.01 60.01°
Closest atoms and distances in Å follow each position.
Atoms (fractional coordinates):
Ce: 0.0000 0.0000 0.0000  6 N 2.53
Ce: 0.0000 0.5000 0.5000  6 N 2.49-2.50
Ce: 0.5000 0.0000 0.5000  6 N 2.49-2.50
Ce: 0.5000 0.5000 0.0000  6 N 2.49-2.50
Ce: 0.5000 0.5000 0.5000  6 N 2.53
Pm: 0.0000 0.0000 0.5000  6 N 2.57-2.58
Pm: 0.0000 0.5000 0.0000  6 N 2.57-2.58
Pm: 0.5000 0.0000 0.0000  6 N 2.57-2.58
N: 0.2500 0.2500 0.7426  4 Ce 2.50-2.53, 2 Pm 2.57
N: 0.2500 0.7426 0.2500  4 Ce 2.50-2.53, 2 Pm 2.57
N: 0.2545 0.2545 0.2545  3 Ce 2.49, 3 Pm 2.58
N: 0.2574 0.7500 0.7500  4 Ce 2.50-2.53, 2 Pm 2.57
N: 0.7426 0.2500 0.2500  4 Ce 2.50-2.53, 2 Pm 2.57
N: 0.7455 0.7455 0.7455  3 Ce 2.49, 3 Pm 2.58
N: 0.7500 0.2574 0.7500  4 Ce 2.50-2.53, 2 Pm 2.57
N: 0.7500 0.7500 0.2574  4 Ce 2.50-2.53, 2 Pm 2.57

Calculated values
The crystal system is trigonal. Its space group is R-3m, No. 166. The value obtained for the final energy is -0.30860 Ha/atom. The calculated volume comes out at 260.3 Å³ per cell.

=====

DFT (PBE-GGA) results for a geometry-optimized Ce2PmN structure.

Cell: 3.1376 3.1376 9.0227 Å, 90.00 90.00 90.00°
Closest atoms and distances in Å follow each position.
Atoms (fractional coordinates):
Ce: 0.0000 0.0000 0.1571  4 N 2.63, 1 Ce 2.83
Ce: 0.0000 0.0000 0.8429  4 N 2.63, 1 Ce 2.83
Pm: 0.5000 0.5000 0.5000  4 Pm 3.14
N: 0.5000 0.5000 0.0000  8 Ce 2.63

Calculated values
The crystal system is tetragonal. Its space group is P4/mmm, No. 123. The value obtained for the final energy is -0.23959 Ha/atom. The calculated volume comes out at 88.8 Å³ per cell.

=====

DFT (PBE-GGA) results for a geometry-optimized CePm3N structure.

Cell: 5.0996 5.0996 5.0996 Å, 90.00 90.00 90.00°
Closest atoms and distances in Å follow each position.
Atoms (fractional coordinates):
Ce: 0.0000 0.0000 0.0000  12 Pm 3.61
Pm: 0.0000 0.5000 0.5000  2 N 2.55
Pm: 0.5000 0.0000 0.5000  2 N 2.55
Pm: 0.5000 0.5000 0.0000  2 N 2.55
N: 0.5000 0.5000 0.5000  6 Pm 2.55

Calculated values
The crystal system is cubic. Its space group is Pm-3m, No. 221. The value obtained for the final energy is -0.22267 Ha/atom. The calculated volume comes out at 132.6 Å³ per cell.

=====

DFT (PBE-GGA) results for a geometry-optimized Ce2Pm3N4 structure.

Cell: 6.2859 6.2859 8.9489 Å, 119.07 119.07 33.17°
Closest atoms and distances in Å follow each position.
Atoms (fractional coordinates):
Ce: 0.1051 0.1051 0.3848  4 N 2.38-2.56
Ce: 0.8949 0.8949 0.6152  4 N 2.38-2.56
Pm: 0.2967 0.2967 0.1905  5 N 2.48-2.66
Pm: 0.5000 0.5000 0.0000  6 N 2.58
Pm: 0.7033 0.7033 0.8095  5 N 2.48-2.66
N: 0.1006 0.1006 0.8977  5 Pm 2.48-2.58, 1 Ce 2.49
N: 0.3024 0.3024 0.6908  3 Ce 2.38-2.56, 3 Pm 2.58-2.66
N: 0.6976 0.6976 0.3092  3 Ce 2.38-2.56, 3 Pm 2.58-2.66
N: 0.8994 0.8994 0.1023  5 Pm 2.48-2.58, 1 Ce 2.49

Calculated values
The crystal system is monoclinic. Its space group is C2/m, No. 12. The value obtained for the final energy is -0.28926 Ha/atom. The calculated volume comes out at 166.8 Å³ per cell.

=====

DFT (PBE-GGA) results for a geometry-optimized Ce5PmN6 structure.

Cell: 6.1907 6.1907 6.1923 Å, 99.58 99.58 120.00°
Closest atoms and distances in Å follow each position.
Atoms (fractional coordinates):
Ce: 0.0000 0.0000 0.0000  6 N 2.48-2.54
Ce: 0.1668 0.8332 0.5000  6 N 2.52
Ce: 0.3334 0.6666 0.0000  6 N 2.48-2.53
Ce: 0.6666 0.3334 0.0000  6 N 2.48-2.53
Ce: 0.8332 0.1668 0.5000  6 N 2.52
Pm: 0.5000 0.5000 0.5000  6 N 2.58
N: 0.0747 0.4155 0.2465  5 Ce 2.48-2.54, 1 Pm 2.58
N: 0.2438 0.2438 0.7535  5 Ce 2.48-2.53, 1 Pm 2.58
N: 0.4155 0.0747 0.2465  5 Ce 2.48-2.54, 1 Pm 2.58
N: 0.5845 0.9253 0.7535  5 Ce 2.48-2.54, 1 Pm 2.58
N: 0.7562 0.7562 0.2465  5 Ce 2.48-2.53, 1 Pm 2.58
N: 0.9253 0.5845 0.7535  5 Ce 2.48-2.54, 1 Pm 2.58

Calculated values
The crystal system is monoclinic. Its space group is C2/m, No. 12. The value obtained for the final energy is -0.31332 Ha/atom. The calculated volume comes out at 193.8 Å³ per cell.

=====

DFT (PBE-GGA) results for a geometry-optimized Ce2Pm5N5 structure.

Cell: 6.2689 6.2689 12.3995 Å, 107.32 107.32 32.34°
Closest atoms and distances in Å follow each position.
Atoms (fractional coordinates):
Ce: 0.0474 0.0474 0.2976  2 N 2.30
Ce: 0.9526 0.9526 0.7024  2 N 2.30
Pm: 0.2776 0.2776 0.1240  3 N 2.38-2.50
Pm: 0.3480 0.3480 0.4374  3 N 2.36-2.47
Pm: 0.5000 0.5000 0.0000  4 N 2.55
Pm: 0.6520 0.6520 0.5626  3 N 2.36-2.47
Pm: 0.7224 0.7224 0.8760  3 N 2.38-2.50
N: 0.0000 0.0000 0.5000  4 Pm 2.47, 2 Ce 2.74
N: 0.1213 0.1213 0.9362  5 Pm 2.38-2.55
N: 0.3300 0.3300 0.6219  2 Ce 2.30, 1 Pm 2.36
N: 0.6700 0.6700 0.3781  2 Ce 2.30, 1 Pm 2.36
N: 0.8787 0.8787 0.0638  5 Pm 2.38-2.55

Calculated values
The crystal system is monoclinic. Its space group is C2/m, No. 12. The value obtained for the final energy is -0.27332 Ha/atom. The calculated volume comes out at 247.8 Å³ per cell.